## BaTi3Se (GGA-PBE)

Data for an optimized crystal structure of BaTi3Se.

Cell and atoms, written as POSCAR:
```
BaTi3Se
1.0
4.996 0.000 0.000
0.000 4.996 0.000
0.000 0.000 4.996
Ba Ti Se
1 3 1
direct
0.000 0.000 0.000
0.000 0.000 0.500
0.000 0.500 0.000
0.500 0.000 0.000
0.500 0.500 0.500
```

Computed properties:
- E: -4.06 eV/atom